(1)
DFT (PBE) results for crystalline BaBe2ZnF at its relaxed geometry.

```
data_BaBe2ZnF
_chemical_formula_sum 'Ba1 Be2 Zn1 F1'
_cell_length_a 6.472
_cell_length_b 6.472
_cell_length_c 4.892
_cell_angle_alpha 90.00
_cell_angle_beta 90.00
_cell_angle_gamma 90.00
_space_group_name_H-M_alt 'P 4/m m m'
_space_group_IT_number 123
_space_group_name_Hall '-P 4 2'
loop_
_atom_site_label
_atom_site_type_symbol
_atom_site_fract_x
_atom_site_fract_y
_atom_site_fract_z
Ba1 Ba 0.000 0.000 0.000
Be1 Be 0.000 0.500 0.000
Zn1 Zn 0.500 0.500 0.500
F1 F 0.000 0.000 0.500
```

Formation energy without anion corrections (eV per atom): 0.443
Volume (Å³/f.u.): 204.9
Magnetization (μB per formula unit): 0.00

(2)
DFT (PBE) results for crystalline BaBe2Fe at its relaxed geometry.

```
data_BaBe2Fe
_chemical_formula_sum 'Ba2 Be4 Fe2'
_cell_length_a 3.840
_cell_length_b 5.913
_cell_length_c 7.503
_cell_angle_alpha 90.00
_cell_angle_beta 90.00
_cell_angle_gamma 90.00
_space_group_name_H-M_alt 'I m m 2'
_space_group_IT_number 44
loop_
_space_group_symop_operation_xyz
'x,y,z'
'-x,-y,z'
'-x,y,z'
'x,-y,z'
'x+1/2,y+1/2,z+1/2'
'-x+1/2,-y+1/2,z+1/2'
'-x+1/2,y+1/2,z+1/2'
'x+1/2,-y+1/2,z+1/2'
loop_
_atom_site_label
_atom_site_type_symbol
_atom_site_fract_x
_atom_site_fract_y
_atom_site_fract_z
Ba1 Ba 0.000 0.000 0.000
Be1 Be 0.000 0.000 0.488
Be2 Be 0.000 0.500 0.857
Fe1 Fe 0.000 0.500 0.133
```

Volume (Å³/f.u.): 85.2
Raw total energy (eV/atom): -3.702
Magnetization (μB per formula unit): 1.69

(3)
DFT (PBE) results for crystalline BaBe2Fe at its relaxed geometry.

```
data_BaBe2Fe
_chemical_formula_sum 'Ba2 Be4 Fe2'
_cell_length_a 6.750
_cell_length_b 3.897
_cell_length_c 6.121
_cell_angle_alpha 90.00
_cell_angle_beta 111.50
_cell_angle_gamma 90.00
_space_group_name_H-M_alt 'C 1 m 1'
_space_group_IT_number 8
loop_
_space_group_symop_operation_xyz
'x,y,z'
'x,-y,z'
'x+1/2,y+1/2,z'
'x+1/2,-y+1/2,z'
loop_
_atom_site_label
_atom_site_type_symbol
_atom_site_fract_x
_atom_site_fract_y
_atom_site_fract_z
Ba1 Ba 0.000 0.000 0.000
Be1 Be 0.004 0.500 0.505
Be2 Be 0.182 0.000 0.538
Fe1 Fe 0.317 0.500 0.445
```

Volume (Å³/f.u.): 74.9
Raw total energy (eV/atom): -4.160
Magnetization (μB per formula unit): 1.38

(4)
DFT (PBE) results for crystalline Ba4BeFe at its relaxed geometry.

```
data_Ba4BeFe
_chemical_formula_sum 'Ba16 Be4 Fe4'
_cell_length_a 10.068
_cell_length_b 10.068
_cell_length_c 10.068
_cell_angle_alpha 90.00
_cell_angle_beta 90.00
_cell_angle_gamma 90.00
_space_group_name_H-M_alt 'F -4 3 m'
_space_group_IT_number 216
_space_group_name_Hall 'F -4 2 3'
loop_
_atom_site_label
_atom_site_type_symbol
_atom_site_fract_x
_atom_site_fract_y
_atom_site_fract_z
Ba1 Ba 0.125 0.125 0.125
Be1 Be 0.250 0.250 0.750
Fe1 Fe 0.000 0.000 0.500
```

Volume (Å³/f.u.): 255.2
Raw total energy (eV/atom): -2.066
Magnetization (μB per formula unit): 2.29